Version 1
Zr3MnAl | PBE | optimized geometry

Results
Total magnetic moment in μB per cell: 0.000

```
data_Zr3MnAl
_symmetry_space_group_name_H-M 'P m -3 m'
_symmetry_Int_Tables_number 221
_symmetry_space_group_name_Hall '-P 4 2 3'
_cell_length_a 4.7957
_cell_length_b 4.7957
_cell_length_c 4.7957
_cell_angle_alpha 90.00
_cell_angle_beta 90.00
_cell_angle_gamma 90.00
loop_
_atom_site_label
_atom_site_type_symbol
_atom_site_fract_x
_atom_site_fract_y
_atom_site_fract_z
Zr1 Zr 0.0000 0.0000 0.5000
Mn1 Mn 0.0000 0.0000 0.0000
Al1 Al 0.5000 0.5000 0.5000
```

***

Version 2
Zr3MnAl | PBE | optimized geometry

Results
Total magnetic moment in μB per cell: 0.729

```
data_Zr3MnAl
_symmetry_space_group_name_H-M 'P m -3 m'
_symmetry_Int_Tables_number 221
_symmetry_space_group_name_Hall '-P 4 2 3'
_cell_length_a 4.9442
_cell_length_b 4.9442
_cell_length_c 4.9442
_cell_angle_alpha 90.00
_cell_angle_beta 90.00
_cell_angle_gamma 90.00
loop_
_atom_site_label
_atom_site_type_symbol
_atom_site_fract_x
_atom_site_fract_y
_atom_site_fract_z
Zr1 Zr 0.0000 0.0000 0.5000
Mn1 Mn 0.5000 0.5000 0.5000
Al1 Al 0.0000 0.0000 0.0000
```

***

Energy comparison, zero being the most stable, in kJ/mol of atoms: version 1 0.0; version 2 93.5.

***

Version 1
ZrMn2Al2 | PBE | optimized geometry

Results
Total magnetic moment in μB per cell: 9.960

```
data_ZrMn2Al2
_symmetry_space_group_name_H-M 'P 4/m b m'
_symmetry_Int_Tables_number 127
_symmetry_space_group_name_Hall '-P 4 2ab'
_cell_length_a 7.4701
_cell_length_b 7.4701
_cell_length_c 2.7699
_cell_angle_alpha 90.00
_cell_angle_beta 90.00
_cell_angle_gamma 90.00
loop_
_atom_site_label
_atom_site_type_symbol
_atom_site_fract_x
_atom_site_fract_y
_atom_site_fract_z
Zr1 Zr 0.0000 0.0000 0.0000
Mn1 Mn 0.1203 0.3797 0.0000
Al1 Al 0.1723 0.6723 0.5000
```

***

Version 2
ZrMn2Al2 | PBE | optimized geometry

Results
Total magnetic moment in μB per cell: 8.525

```
data_ZrMn2Al2
_symmetry_space_group_name_H-M 'I 4/m m m'
_symmetry_Int_Tables_number 139
_symmetry_space_group_name_Hall '-I 4 2'
_cell_length_a 3.7626
_cell_length_b 3.7626
_cell_length_c 11.4437
_cell_angle_alpha 90.00
_cell_angle_beta 90.00
_cell_angle_gamma 90.00
loop_
_atom_site_label
_atom_site_type_symbol
_atom_site_fract_x
_atom_site_fract_y
_atom_site_fract_z
Zr1 Zr 0.0000 0.0000 0.0000
Mn1 Mn 0.0000 0.5000 0.2500
Al1 Al 0.0000 0.0000 0.3903
```

***

Version 3
ZrMn2Al2 | PBE | optimized geometry

Results
Total magnetic moment in μB per cell: 5.879

```
data_ZrMn2Al2
_symmetry_space_group_name_H-M 'I 4/m m m'
_symmetry_Int_Tables_number 139
_symmetry_space_group_name_Hall '-I 4 2'
_cell_length_a 4.0070
_cell_length_b 4.0070
_cell_length_c 9.9475
_cell_angle_alpha 90.00
_cell_angle_beta 90.00
_cell_angle_gamma 90.00
loop_
_atom_site_label
_atom_site_type_symbol
_atom_site_fract_x
_atom_site_fract_y
_atom_site_fract_z
Zr1 Zr 0.0000 0.0000 0.0000
Mn1 Mn 0.0000 0.0000 0.4011
Al1 Al 0.0000 0.5000 0.2500
```

***

Energy comparison, zero being the most stable, in kJ/mol of atoms: version 1 0.0; version 2 6.2; version 3 9.4.

***

Version 1
Zr3Mn8Al | PBE | optimized geometry

Results
Total magnetic moment in μB per cell: 3.010

```
data_Zr3Mn8Al
_symmetry_space_group_name_H-M 'P 3 m 1'
_symmetry_Int_Tables_number 156
_cell_length_a 4.8566
_cell_length_b 4.8566
_cell_length_c 8.1220
_cell_angle_alpha 90.00
_cell_angle_beta 90.00
_cell_angle_gamma 120.00
loop_
_symmetry_equiv_pos_as_xyz
'x,y,z'
'-y,x-y,z'
'-x+y,-x,z'
'-y,-x,z'
'-x+y,y,z'
'x,x-y,z'
loop_
_atom_site_label
_atom_site_type_symbol
_atom_site_fract_x
_atom_site_fract_y
_atom_site_fract_z
Zr1 Zr 0.0000 0.0000 0.0000
Zr2 Zr 0.0000 0.0000 0.3782
Zr3 Zr 0.3333 0.6667 0.8610
Mn1 Mn 0.0123 0.5062 0.1902
Mn2 Mn 0.3264 0.1632 0.6805
Mn3 Mn 0.6667 0.3333 0.4363
Mn4 Mn 0.6667 0.3333 0.9401
Al1 Al 0.3333 0.6667 0.4985
```

***

Version 2
Zr3Mn8Al | PBE | optimized geometry

Results
Total magnetic moment in μB per cell: 15.297

```
data_Zr3Mn8Al
_symmetry_space_group_name_H-M 'R 3 m'
_symmetry_Int_Tables_number 160
_symmetry_space_group_name_Hall 'R 3 -2"'
_cell_length_a 4.9161
_cell_length_b 4.9161
_cell_length_c 23.9351
_cell_angle_alpha 90.00
_cell_angle_beta 90.00
_cell_angle_gamma 120.00
loop_
_atom_site_label
_atom_site_type_symbol
_atom_site_fract_x
_atom_site_fract_y
_atom_site_fract_z
Zr1 Zr 0.0000 0.0000 0.0000
Zr2 Zr 0.0000 0.0000 0.1269
Zr3 Zr 0.0000 0.0000 0.5049
Mn1 Mn 0.0000 0.0000 0.3148
Mn2 Mn 0.0000 0.0000 0.8148
Mn3 Mn 0.0005 0.5003 0.5666
Mn4 Mn 0.1687 0.3375 0.3960
Al1 Al 0.0000 0.0000 0.6277
```

***

Energy comparison, zero being the most stable, in kJ/mol of atoms: version 1 0.0; version 2 1.2.

***

Version 1
Al2Mo3 | PBE | optimized geometry

Results
Total magnetic moment in μB per cell: 0.000

```
data_Al2Mo3
_symmetry_space_group_name_H-M 'P 1 21/c 1'
_symmetry_Int_Tables_number 14
_cell_length_a 9.8354
_cell_length_b 9.1206
_cell_length_c 7.5356
_cell_angle_alpha 90.00
_cell_angle_beta 110.22
_cell_angle_gamma 90.00
loop_
_symmetry_equiv_pos_as_xyz
'x,y,z'
'-x,-y,-z'
'-x,y+1/2,-z+1/2'
'x,-y+1/2,z+1/2'
loop_
_atom_site_label
_atom_site_type_symbol
_atom_site_fract_x
_atom_site_fract_y
_atom_site_fract_z
Al1 Al 0.0244 0.0176 0.2042
Al2 Al 0.1815 0.0418 0.6018
Al3 Al 0.2642 0.6298 0.8400
Al4 Al 0.4373 0.1224 0.9150
Mo1 Mo 0.0576 0.7241 0.9944
Mo2 Mo 0.1482 0.2205 0.8611
Mo3 Mo 0.2548 0.5909 0.4722
Mo4 Mo 0.3093 0.1425 0.1998
Mo5 Mo 0.3948 0.6579 0.2150
Mo6 Mo 0.4427 0.1049 0.5664
```

***

Version 2
Al2Mo3 | PBE | optimized geometry

Results
Total magnetic moment in μB per cell: 0.000

```
data_Al2Mo3
_symmetry_space_group_name_H-M 'P -3 m 1'
_symmetry_Int_Tables_number 164
_symmetry_space_group_name_Hall '-P 3 2"'
_cell_length_a 4.2674
_cell_length_b 4.2674
_cell_length_c 5.2969
_cell_angle_alpha 90.00
_cell_angle_beta 90.00
_cell_angle_gamma 120.00
loop_
_atom_site_label
_atom_site_type_symbol
_atom_site_fract_x
_atom_site_fract_y
_atom_site_fract_z
Al1 Al 0.3333 0.6667 0.3597
Mo1 Mo 0.0000 0.0000 0.5000
Mo2 Mo 0.3333 0.6667 0.8726
```

***

Energy comparison, zero being the most stable, in kJ/mol of atoms: version 1 0.0; version 2 46.7.

***

Version 1
Al2Mo3 | PBE | optimized geometry

Results
Total magnetic moment in μB per cell: 0.000

```
data_Al2Mo3
_symmetry_space_group_name_H-M 'F d d 2'
_symmetry_Int_Tables_number 43
_symmetry_space_group_name_Hall 'F 2 -2d'
_cell_length_a 9.2079
_cell_length_b 13.9741
_cell_length_c 4.8323
_cell_angle_alpha 90.00
_cell_angle_beta 90.00
_cell_angle_gamma 90.00
loop_
_atom_site_label
_atom_site_type_symbol
_atom_site_fract_x
_atom_site_fract_y
_atom_site_fract_z
Al1 Al 0.0005 0.2006 0.0000
Mo1 Mo 0.0000 0.0000 0.0013
Mo2 Mo 0.0006 0.1034 0.5004
```

***

Version 2
Al2Mo3 | PBE | optimized geometry

Results
Total magnetic moment in μB per cell: 0.000

```
data_Al2Mo3
_symmetry_space_group_name_H-M 'P 1 21/c 1'
_symmetry_Int_Tables_number 14
_cell_length_a 9.7170
_cell_length_b 8.0124
_cell_length_c 9.2681
_cell_angle_alpha 90.00
_cell_angle_beta 116.73
_cell_angle_gamma 90.00
loop_
_symmetry_equiv_pos_as_xyz
'x,y,z'
'-x,-y,-z'
'-x,y+1/2,-z+1/2'
'x,-y+1/2,z+1/2'
loop_
_atom_site_label
_atom_site_type_symbol
_atom_site_fract_x
_atom_site_fract_y
_atom_site_fract_z
Al1 Al 0.0303 0.0391 0.3034
Al2 Al 0.1461 0.5634 0.5749
Al3 Al 0.2363 0.1155 0.8735
Al4 Al 0.4163 0.6413 0.7870
Mo1 Mo 0.0871 0.2177 0.5629
Mo2 Mo 0.1807 0.7423 0.8469
Mo3 Mo 0.2391 0.5793 0.1336
Mo4 Mo 0.3350 0.0666 0.4429
Mo5 Mo 0.3694 0.1764 0.1915
Mo6 Mo 0.4470 0.6475 0.5228
```

***

Energy comparison, zero being the most stable, in kJ/mol of atoms: version 1 0.0; version 2 9.8.